Record 1
A relaxed RbBeAl2Pt crystal. Source: the Alexandria database, functional PBE.

Cell and atoms, written as POSCAR:
```
RbBeAl2Pt
1.0
4.4928 0.0000 0.0000
0.0000 4.4928 0.0000
0.0000 0.0000 5.3775
Rb Be Al Pt
1 1 2 1
Direct
0.0000 0.0000 0.0000
0.0000 0.0000 0.5000
0.0000 0.5000 0.5000
0.5000 0.0000 0.5000
0.5000 0.5000 0.0000
```

Its symmetry is P4/mmm (123). The density of states at the Fermi level comes out at 2.486 states/eV per cell. The calculated density comes out at 5.3 g cm⁻³. The calculation puts the total energy at -2.946 eV/atom. The magnetization is 0.00 μB per formula unit.



Record 2
A relaxed La2TlSe2 crystal. Source: the Alexandria database, functional PBE.

Cell and atoms, written as POSCAR:
```
La2TlSe2
1.0
8.6053 0.0000 0.0000
0.0000 8.6053 0.0000
0.0000 0.0000 3.8743
La Tl Se
4 2 4
Direct
0.1590 0.3410 0.0000
0.3410 0.8410 0.0000
0.6590 0.1590 0.0000
0.8410 0.6590 0.0000
0.0000 0.0000 0.0000
0.5000 0.5000 0.0000
0.1403 0.6403 0.5000
0.3597 0.1403 0.5000
0.6403 0.8597 0.5000
0.8597 0.3597 0.5000
```

The raw formation energy comes out at -1.258 eV per atom. Its symmetry is P4/mbm (127). The density of states at the Fermi level comes out at 9.811 states/eV per cell. The calculated density comes out at 7.4 g cm⁻³. The magnetization is 0.00 μB per formula unit.